Here is an optimized crystal structure of Sc6In5Rh from Alexandria via LeMat-Bulk. Energies are from PBE-GGA.

Results
E, eV/atom: -5.409
ρ, g/cm³: 6.1
SG: P2/m, No. 10
Magnetic moment, μB per formula unit: 0.0

Unit cell a=5.005 b=6.896 c=7.883 alpha=90.00 beta=108.40 gamma=90.00
Fractional positions:
1 Sc 0.000 0.239 0.000
2 Sc 0.000 0.761 0.000
3 Sc 0.344 0.239 0.687
4 Sc 0.344 0.761 0.687
5 Sc 0.656 0.239 0.313
6 Sc 0.656 0.761 0.313
7 In 0.169 0.000 0.338
8 In 0.173 0.500 0.347
9 In 0.500 0.500 0.000
10 In 0.827 0.500 0.653
11 In 0.831 0.000 0.662
12 Rh 0.500 0.000 0.000

Here is an optimized crystal structure of Sc4InRh5 from Alexandria via LeMat-Bulk. Energies are from PBE-GGA.

Results
E, eV/atom: -7.400
ρ, g/cm³: 8.0
SG: P4/mmm, No. 123
Magnetic moment, μB per formula unit: 0.0

Unit cell a=3.247 b=3.247 c=15.954 alpha=90.00 beta=90.00 gamma=90.00
Fractional positions:
1 Sc 0.000 0.000 0.101
2 Sc 0.000 0.000 0.301
3 Sc 0.000 0.000 0.699
4 Sc 0.000 0.000 0.899
5 In 0.000 0.000 0.500
6 Rh 0.500 0.500 0.000
7 Rh 0.500 0.500 0.199
8 Rh 0.500 0.500 0.398
9 Rh 0.500 0.500 0.602
10 Rh 0.500 0.500 0.801

Here is an optimized crystal structure of ScIn2Rh2 from Alexandria via LeMat-Bulk. Energies are from PBE-GGA.

Results
Distance to the lowest polymorph of the same formula, meV per atom: 0
ρ, g/cm³: 8.5
SG: P4/mbm, No. 127
Magnetic moment, μB per formula unit: 0.0

Unit cell a=7.014 b=7.014 c=3.827 alpha=90.00 beta=90.00 gamma=90.00
Fractional positions:
1 Sc 0.000 0.000 0.000
2 Sc 0.500 0.500 0.000
3 In 0.158 0.342 0.500
4 In 0.342 0.842 0.500
5 In 0.658 0.158 0.500
6 In 0.842 0.658 0.500
7 Rh 0.142 0.642 0.000
8 Rh 0.358 0.142 0.000
9 Rh 0.642 0.858 0.000
10 Rh 0.858 0.358 0.000

Here is an optimized crystal structure of Sc2InRh5 from Alexandria via LeMat-Bulk. Energies are from PBE-GGA.

Results
E, eV/atom: -7.206
ρ, g/cm³: 9.3
SG: Pbam, No. 55
Magnetic moment, μB per formula unit: 0.0

Unit cell a=5.559 b=11.075 c=4.156 alpha=90.00 beta=90.00 gamma=90.00
Fractional positions:
1 Sc 0.196 0.138 0.000
2 Sc 0.304 0.638 0.000
3 Sc 0.696 0.362 0.000
4 Sc 0.804 0.862 0.000
5 In 0.000 0.500 0.500
6 In 0.500 0.000 0.500
7 Rh 0.000 0.000 0.500
8 Rh 0.050 0.755 0.500
9 Rh 0.212 0.381 0.000
10 Rh 0.288 0.881 0.000
11 Rh 0.450 0.255 0.500
12 Rh 0.500 0.500 0.500
13 Rh 0.550 0.745 0.500
14 Rh 0.712 0.119 0.000
15 Rh 0.788 0.619 0.000
16 Rh 0.950 0.245 0.500

Here is an optimized crystal structure of Sc4In2Rh from Alexandria via LeMat-Bulk. Energies are from PBE-GGA.

Results
E, eV/atom: -5.670
ρ, g/cm³: 4.7
SG: I4/mmm, No. 139
Magnetic moment, μB per formula unit: 0.0

Unit cell a=4.985 b=4.985 c=14.518 alpha=90.00 beta=90.00 gamma=90.00
Fractional positions:
1 Sc 0.000 0.000 0.176
2 Sc 0.000 0.000 0.824
3 Sc 0.000 0.500 0.000
4 Sc 0.000 0.500 0.500
5 Sc 0.500 0.000 0.000
6 Sc 0.500 0.000 0.500
7 Sc 0.500 0.500 0.324
8 Sc 0.500 0.500 0.676
9 In 0.000 0.000 0.375
10 In 0.000 0.000 0.625
11 In 0.500 0.500 0.125
12 In 0.500 0.500 0.875
13 Rh 0.000 0.000 0.000
14 Rh 0.500 0.500 0.500

Here is an optimized crystal structure of ScIn2Rh3 from Alexandria via LeMat-Bulk. Energies are from PBE-GGA.

Results
Distance to the lowest polymorph of the same formula, meV per atom: 0
ρ, g/cm³: 9.6
SG: P-3m1, No. 164
Magnetic moment, μB per formula unit: 0.0

Unit cell a=4.571 b=4.571 c=5.575 alpha=90.00 beta=90.00 gamma=120.00
Fractional positions:
1 Sc 0.000 0.000 0.000
2 In 0.333 0.667 0.674
3 In 0.667 0.333 0.326
4 Rh 0.000 0.000 0.500
5 Rh 0.333 0.667 0.171
6 Rh 0.667 0.333 0.829

Here is an optimized crystal structure of Sc5In4Rh2 from Alexandria via LeMat-Bulk. Energies are from PBE-GGA.

Results
E, eV/atom: -5.887
ρ, g/cm³: 6.5
SG: Pbam, No. 55
Magnetic moment, μB per formula unit: 0.0

Unit cell a=7.665 b=17.563 c=3.394 alpha=90.00 beta=90.00 gamma=90.00
Fractional positions:
1 Sc 0.000 0.000 0.000
2 Sc 0.124 0.414 0.000
3 Sc 0.243 0.721 0.000
4 Sc 0.257 0.221 0.000
5 Sc 0.376 0.914 0.000
6 Sc 0.500 0.500 0.000
7 Sc 0.624 0.086 0.000
8 Sc 0.743 0.779 0.000
9 Sc 0.757 0.279 0.000
10 Sc 0.876 0.586 0.000
11 In 0.068 0.851 0.500
12 In 0.203 0.566 0.500
13 In 0.297 0.066 0.500
14 In 0.432 0.351 0.500
15 In 0.568 0.649 0.500
16 In 0.703 0.934 0.500
17 In 0.797 0.434 0.500
18 In 0.932 0.149 0.500
19 Rh 0.038 0.306 0.500
20 Rh 0.462 0.806 0.500
21 Rh 0.538 0.194 0.500
22 Rh 0.962 0.694 0.500

Here is an optimized crystal structure of ScIn2Rh2 from Alexandria via LeMat-Bulk. Energies are from PBE-GGA.

Results
Distance to the lowest polymorph of the same formula, meV per atom: 262
ρ, g/cm³: 7.9
SG: I4/mmm, No. 139
Magnetic moment, μB per formula unit: 0.0

Unit cell a=4.014 b=4.014 c=12.503 alpha=90.00 beta=90.00 gamma=90.00
Fractional positions:
1 Sc 0.000 0.000 0.000
2 Sc 0.500 0.500 0.500
3 In 0.000 0.500 0.250
4 In 0.000 0.500 0.750
5 In 0.500 0.000 0.250
6 In 0.500 0.000 0.750
7 Rh 0.000 0.000 0.400
8 Rh 0.000 0.000 0.600
9 Rh 0.500 0.500 0.100
10 Rh 0.500 0.500 0.900